The following is a GGA-PBE calculation of a relaxed ScCuHg crystal, from Alexandria.

Lattice parameters (Å, degrees): 6.459 6.459 6.459 90.00 90.00 90.00
Fractional coordinates of all 12 atoms:
Sc 0.000 0.000 0.000
Sc 0.000 0.500 0.500
Sc 0.500 0.000 0.500
Sc 0.500 0.500 0.000
Cu 0.250 0.250 0.250
Cu 0.250 0.750 0.750
Cu 0.750 0.250 0.750
Cu 0.750 0.750 0.250
Hg 0.250 0.250 0.750
Hg 0.250 0.750 0.250
Hg 0.750 0.250 0.250
Hg 0.750 0.750 0.750

For the density of states at the Fermi level, the calculation gives 0.648 states/eV/atom. The calculation puts the volume at 22.45 Å³/atom. Its symmetry is No. 216. The energy above the most stable polymorph in this dataset is 447 meV per atom. The calculation puts the uncorrected energy at -3.4076 eV/atom. For the formation energy, the calculation gives 0.51 eV/f.u.